# CeTiTcRh, relaxed, DFT GGA-PBE
data_CeTiTcRh
_cell_length_a 6.5706
_cell_length_b 6.5706
_cell_length_c 6.5706
_cell_angle_alpha 90.00
_cell_angle_beta 90.00
_cell_angle_gamma 90.00
_space_group_name_H-M_alt 'F -4 3 m'
_space_group_IT_number 216
_space_group_name_Hall 'F -4 2 3'
loop_
_atom_site_label
_atom_site_type_symbol
_atom_site_fract_x
_atom_site_fract_y
_atom_site_fract_z
Ce1 Ce 0.0000 0.0000 0.0000
Ti1 Ti 0.0000 0.0000 0.5000
Tc1 Tc 0.2500 0.2500 0.7500
Rh1 Rh 0.2500 0.2500 0.2500
# * formation energy from the elements: -1.50 eV/f.u.
# * mass density: 9.11 Mg/m³
# * crystal system: cubic
# * total magnetic moment: 0.00 μB/atom
# * Fermi-level density of states: 15.61 states/eV per cell

---

# ErTmAg2Te4, relaxed, DFT GGA-PBE
data_ErTmAg2Te4
_cell_length_a 7.4442
_cell_length_b 4.3720
_cell_length_c 7.5666
_cell_angle_alpha 90.00
_cell_angle_beta 109.52
_cell_angle_gamma 90.00
_space_group_name_H-M_alt 'P 1 2/m 1'
_space_group_IT_number 10
loop_
_space_group_symop_operation_xyz
'x,y,z'
'-x,-y,-z'
'-x,y,-z'
'x,-y,z'
loop_
_atom_site_label
_atom_site_type_symbol
_atom_site_fract_x
_atom_site_fract_y
_atom_site_fract_z
Er1 Er 0.0000 0.0000 0.0000
Tm1 Tm 0.0000 0.5000 0.5000
Ag1 Ag 0.5000 0.0000 0.5000
Ag2 Ag 0.5000 0.5000 0.0000
Te1 Te 0.2507 0.0000 0.7482
Te2 Te 0.2511 0.5000 0.2499
# * mass density: 7.60 Mg/m³
# * crystal system: monoclinic
# * total magnetic moment: 0.00 μB/atom
# * formation energy without anion corrections: -78.5 kJ per mole of atoms

---

# SmBeAu2, relaxed, DFT GGA-PBE
data_SmBeAu2
_cell_length_a 4.2107
_cell_length_b 4.2107
_cell_length_c 15.6767
_cell_angle_alpha 90.00
_cell_angle_beta 90.00
_cell_angle_gamma 120.00
_space_group_name_H-M_alt 'R -3 m'
_space_group_IT_number 166
_space_group_name_Hall '-R 3 2"'
loop_
_atom_site_label
_atom_site_type_symbol
_atom_site_fract_x
_atom_site_fract_y
_atom_site_fract_z
Sm1 Sm 0.0000 0.0000 0.0000
Be1 Be 0.0000 0.0000 0.5000
Au1 Au 0.0000 0.0000 0.2144
# * formation energy from the elements: -1.88 eV/f.u.
# * mass density: 11.45 Mg/m³
# * crystal system: trigonal
# * total magnetic moment: 0.00 μB/atom
# * Fermi-level density of states: 6.32 states/eV per cell

---

# Pr2ErPuAs4, relaxed, DFT GGA-PBE
data_Pr2ErPuAs4
_cell_length_a 7.2744
_cell_length_b 4.2162
_cell_length_c 7.2817
_cell_angle_alpha 90.00
_cell_angle_beta 109.45
_cell_angle_gamma 90.00
_space_group_name_H-M_alt 'P 1 2/m 1'
_space_group_IT_number 10
loop_
_space_group_symop_operation_xyz
'x,y,z'
'-x,-y,-z'
'-x,y,-z'
'x,-y,z'
loop_
_atom_site_label
_atom_site_type_symbol
_atom_site_fract_x
_atom_site_fract_y
_atom_site_fract_z
Pr1 Pr 0.0000 0.0000 0.0000
Pr2 Pr 0.5000 0.5000 0.0000
Er1 Er 0.0000 0.5000 0.5000
Pu1 Pu 0.5000 0.0000 0.5000
As1 As 0.2452 0.0000 0.7360
As2 As 0.2547 0.5000 0.2643
# * formation energy from the elements: -10.94 eV/f.u.
# * mass density: 7.83 Mg/m³
# * crystal system: monoclinic
# * total magnetic moment: 0.62 μB/atom
# * Fermi-level density of states: 13.56 states/eV per cell

---

# Tl2NiCl, relaxed, DFT GGA-PBE
data_Tl2NiCl
_cell_length_a 4.1020
_cell_length_b 4.1020
_cell_length_c 12.3079
_cell_angle_alpha 90.00
_cell_angle_beta 90.00
_cell_angle_gamma 90.00
_space_group_name_H-M_alt 'I -4 m 2'
_space_group_IT_number 119
_space_group_name_Hall 'I -4 -2'
loop_
_atom_site_label
_atom_site_type_symbol
_atom_site_fract_x
_atom_site_fract_y
_atom_site_fract_z
Tl1 Tl 0.0000 0.0000 0.0000
Tl2 Tl 0.0000 0.5000 0.2500
Ni1 Ni 0.0000 0.0000 0.5000
Cl1 Cl 0.0000 0.5000 0.7500
# * mass density: 8.06 Mg/m³
# * crystal system: tetragonal
# * total magnetic moment: 0.08 μB/atom
# * formation energy without anion corrections: 12.4 kJ per mole of atoms
# * Fermi-level density of states: 10.80 states/eV per cell
# * distance to the lowest polymorph of the same formula: 254 meV per atom

---

# Tb4Dy4Ho3, relaxed, DFT GGA-PBE
data_Tb4Dy4Ho3
_cell_length_a 3.4958
_cell_length_b 5.5719
_cell_length_c 17.9792
_cell_angle_alpha 81.11
_cell_angle_beta 84.43
_cell_angle_gamma 90.00
_space_group_name_H-M_alt 'P -1'
_space_group_IT_number 2
loop_
_space_group_symop_operation_xyz
'x,y,z'
'-x,-y,-z'
loop_
_atom_site_label
_atom_site_type_symbol
_atom_site_fract_x
_atom_site_fract_y
_atom_site_fract_z
Tb1 Tb 0.0454 0.0451 0.4083
Tb2 Tb 0.1796 0.6800 0.1396
Dy1 Dy 0.0904 0.5896 0.3192
Dy2 Dy 0.2334 0.2330 0.0337
Ho1 Ho 0.3637 0.8636 0.7732
Ho2 Ho 0.5000 0.5000 0.5000
# * formation energy from the elements: 0.63 eV/f.u.
# * mass density: 8.59 Mg/m³
# * crystal system: triclinic
# * total magnetic moment: 0.00 μB/atom
# * Fermi-level density of states: 19.04 states/eV per cell
# * distance to the lowest polymorph of the same formula: 0 meV per atom

---

# Zn2CoSbTe, relaxed, DFT GGA-PBE
data_Zn2CoSbTe
_cell_length_a 5.0633
_cell_length_b 5.0633
_cell_length_c 6.0459
_cell_angle_alpha 90.00
_cell_angle_beta 90.00
_cell_angle_gamma 90.00
_space_group_name_H-M_alt 'P 4/m m m'
_space_group_IT_number 123
_space_group_name_Hall '-P 4 2'
loop_
_atom_site_label
_atom_site_type_symbol
_atom_site_fract_x
_atom_site_fract_y
_atom_site_fract_z
Zn1 Zn 0.0000 0.5000 0.0000
Co1 Co 0.0000 0.0000 0.5000
Sb1 Sb 0.5000 0.5000 0.0000
Te1 Te 0.5000 0.5000 0.5000
# * mass density: 4.70 Mg/m³
# * crystal system: tetragonal
# * total magnetic moment: 0.46 μB/atom
# * formation energy without anion corrections: 98.3 kJ per mole of atoms
# * Fermi-level density of states: 4.65 states/eV per cell

---

# Ce2Mg6Zn3, relaxed, DFT GGA-PBE
data_Ce2Mg6Zn3
_cell_length_a 9.2511
_cell_length_b 9.2511
_cell_length_c 3.3859
_cell_angle_alpha 90.00
_cell_angle_beta 90.00
_cell_angle_gamma 120.00
_space_group_name_H-M_alt 'P -6 2 m'
_space_group_IT_number 189
_space_group_name_Hall 'P -6 -2'
loop_
_atom_site_label
_atom_site_type_symbol
_atom_site_fract_x
_atom_site_fract_y
_atom_site_fract_z
Ce1 Ce 0.3333 0.6667 0.0000
Mg1 Mg 0.0000 0.1865 0.0000
Mg2 Mg 0.0000 0.6887 0.5000
Zn1 Zn 0.0000 0.4067 0.5000
# * formation energy from the elements: -0.42 eV/f.u.
# * mass density: 4.12 Mg/m³
# * crystal system: hexagonal
# * total magnetic moment: 0.23 μB/atom
# * Fermi-level density of states: 14.73 states/eV per cell

---

# AcZrCuIr, relaxed, DFT GGA-PBE
data_AcZrCuIr
_cell_length_a 7.0548
_cell_length_b 7.0548
_cell_length_c 7.0548
_cell_angle_alpha 90.00
_cell_angle_beta 90.00
_cell_angle_gamma 90.00
_space_group_name_H-M_alt 'F -4 3 m'
_space_group_IT_number 216
_space_group_name_Hall 'F -4 2 3'
loop_
_atom_site_label
_atom_site_type_symbol
_atom_site_fract_x
_atom_site_fract_y
_atom_site_fract_z
Ac1 Ac 0.0000 0.0000 0.0000
Zr1 Zr 0.0000 0.0000 0.5000
Cu1 Cu 0.2500 0.2500 0.2500
Ir1 Ir 0.2500 0.2500 0.7500
# * formation energy from the elements: -0.55 eV/f.u.
# * mass density: 10.86 Mg/m³
# * crystal system: cubic
# * total magnetic moment: 0.00 μB/atom
# * Fermi-level density of states: 18.42 states/eV per cell

---

# MgAg2Ge2, relaxed, DFT GGA-PBE
data_MgAg2Ge2
_cell_length_a 3.8274
_cell_length_b 3.8274
_cell_length_c 13.5725
_cell_angle_alpha 90.00
_cell_angle_beta 90.00
_cell_angle_gamma 90.00
_space_group_name_H-M_alt 'I 4/m m m'
_space_group_IT_number 139
_space_group_name_Hall '-I 4 2'
loop_
_atom_site_label
_atom_site_type_symbol
_atom_site_fract_x
_atom_site_fract_y
_atom_site_fract_z
Mg1 Mg 0.0000 0.0000 0.0000
Ag1 Ag 0.0000 0.0000 0.4011
Ge1 Ge 0.0000 0.5000 0.2500
# * formation energy from the elements: 0.44 eV/f.u.
# * mass density: 6.44 Mg/m³
# * crystal system: tetragonal
# * total magnetic moment: 0.00 μB/atom
# * Fermi-level density of states: 3.77 states/eV per cell
# * distance to the lowest polymorph of the same formula: 0 meV per atom

---

# Rb3Pu2I8, relaxed, DFT GGA-PBE
data_Rb3Pu2I8
_cell_length_a 17.7260
_cell_length_b 9.5972
_cell_length_c 8.5716
_cell_angle_alpha 90.00
_cell_angle_beta 106.00
_cell_angle_gamma 90.00
_space_group_name_H-M_alt 'C 1 2/m 1'
_space_group_IT_number 12
loop_
_space_group_symop_operation_xyz
'x,y,z'
'-x,-y,-z'
'-x,y,-z'
'x,-y,z'
'x+1/2,y+1/2,z'
'-x+1/2,-y+1/2,-z'
'-x+1/2,y+1/2,-z'
'x+1/2,-y+1/2,z'
loop_
_atom_site_label
_atom_site_type_symbol
_atom_site_fract_x
_atom_site_fract_y
_atom_site_fract_z
Rb1 Rb 0.0000 0.0000 0.0000
Rb2 Rb 0.0000 0.2610 0.5000
Pu1 Pu 0.2492 0.5000 0.4913
I1 I 0.1334 0.0000 0.7293
I2 I 0.1439 0.5000 0.7254
I3 I 0.1521 0.2439 0.2829
# * mass density: 4.17 Mg/m³
# * crystal system: monoclinic
# * total magnetic moment: 0.85 μB/atom
# * formation energy without anion corrections: -120.5 kJ per mole of atoms
# * Fermi-level density of states: 65.52 states/eV per cell

---

# Rb2Cu2PbO6, relaxed, DFT GGA-PBE
data_Rb2Cu2PbO6
_cell_length_a 6.0148
_cell_length_b 6.0148
_cell_length_c 18.8442
_cell_angle_alpha 90.00
_cell_angle_beta 90.00
_cell_angle_gamma 120.00
_space_group_name_H-M_alt 'R -3 m'
_space_group_IT_number 166
_space_group_name_Hall '-R 3 2"'
loop_
_atom_site_label
_atom_site_type_symbol
_atom_site_fract_x
_atom_site_fract_y
_atom_site_fract_z
Rb1 Rb 0.0000 0.0000 0.2090
Cu1 Cu 0.0000 0.0000 0.4027
Pb1 Pb 0.0000 0.0000 0.0000
O1 O 0.0088 0.5044 0.7434
# * mass density: 5.07 Mg/m³
# * crystal system: trigonal
# * total magnetic moment: 0.34 μB/atom
# * formation energy without anion corrections: -74.6 kJ per mole of atoms
# * Fermi-level density of states: 18.24 states/eV per cell